DFT (GGA-PBE) results for crystalline ScFe2Mo at its relaxed geometry.

It has space group Cmmm (No. 65), with a = 3.2677 Å, b = 4.3742 Å, c = 8.1797 Å, α = 90.00°, β = 90.00° and γ = 90.00°. The distinct sites, in fractional coordinates, are Sc at (0.0000, 0.0000, 0.0000), Fe at (0.0000, 0.5000, 0.2608) and Mo at (0.0000, 0.0000, 0.5000).

As for the energy of formation from the pure elements: 0.1875 eV/atom. The value obtained for the magnetic moment is 0.754 μB per atom.